This record from the Alexandria database describes an optimized crystal structure of Rb2VSeF6. The functional is GGA+U.

```
data_Rb2VSeF6
_space_group_name_H-M_alt 'P 1'
_space_group_IT_number 1
_cell_length_a 7.177
_cell_length_b 7.177
_cell_length_c 6.448
_cell_angle_alpha 56.18
_cell_angle_beta 56.18
_cell_angle_gamma 90.00
loop_
_space_group_symop_operation_xyz
'x,y,z'
loop_
_atom_site_label
_atom_site_fract_x
_atom_site_fract_y
_atom_site_fract_z
V1 0.500 0.500 0.000
F1 0.312 0.688 0.000
F2 0.688 0.312 0.000
F3 0.740 0.740 0.521
F4 0.260 0.260 0.479
F5 0.688 0.688 0.000
F6 0.312 0.312 0.000
Rb1 0.250 0.750 0.500
Rb2 0.750 0.250 0.500
Se1 0.000 0.000 0.000
```

Output
The space group is No. 139. Its volume is 204.9 Å³/f.u. As for the total energy: -46.84 eV for the cell shown.